Material: Mn2ZnRh
Method: DFT, PBEsol
State: optimized geometry

a = 3.633 Å, b = 3.633 Å, c = 3.777 Å
α = 90.00°, β = 90.00°, γ = 90.00°
Space group P4/mmm (No. 123)
One atom of each set of equivalent atoms:
Mn 0.000 0.500 0.000 (multiplicity 2)
Zn 0.000 0.000 0.500 (multiplicity 1)
Rh 0.500 0.500 0.500 (multiplicity 1)

Results
Calculated volume in Å³/cell: 50
E_form in meV per atom: 51
Density of states at the Fermi level in states/eV/f.u.: 3.88
Magnetic moment in μB/f.u.: 5.1